10
Lattice="7.970 0.000 0.000 0.000 7.970 0.000 0.000 0.000 3.914" Properties=species:S:1:pos:R:3 comment="LiZr2Bi2, relaxed, DFT PBE-GGA" relative_energy_mev_per_atom=0.0 e_tot_ev_per_cell=-56.2 m_tot_mub_per_fu=0.00 spacegroup="P4/mbm, No. 127" pbc="T T T"
Li 0.000 0.000 0.000
Li 3.985 3.985 0.000
Zr 1.119 2.866 1.957
Zr 2.866 6.852 1.957
Zr 5.104 1.119 1.957
Zr 6.852 5.104 1.957
Bi 1.248 5.233 0.000
Bi 2.737 1.248 0.000
Bi 5.233 6.722 0.000
Bi 6.722 2.737 0.000

---

6
Lattice="4.131 0.000 0.000 0.000 4.131 0.000 0.000 0.000 5.745" Properties=species:S:1:pos:R:3 comment="FeNiPt4, relaxed, DFT PBE-GGA" relative_energy_mev_per_atom=153.5 e_tot_ev_per_cell=-37.9 m_tot_mub_per_fu=5.89 spacegroup="P4/mmm, No. 123" pbc="T T T"
Fe 0.000 0.000 0.000
Ni 2.065 2.065 2.872
Pt 0.000 2.065 1.446
Pt 0.000 2.065 4.298
Pt 2.065 0.000 1.446
Pt 2.065 0.000 4.298

---

5
Lattice="3.969 0.000 0.000 -1.984 3.437 0.000 0.000 0.000 8.545" Properties=species:S:1:pos:R:3 comment="Cd2P3, relaxed, DFT PBE-GGA" relative_energy_mev_per_atom=0.0 e_tot_ev_per_cell=-17.3 m_tot_mub_per_fu=0.00 spacegroup="P-3m1, No. 164" pbc="T T T"
Cd 0.000 2.291 2.913
Cd 1.984 1.146 5.632
P 0.000 0.000 4.272
P 0.000 2.291 0.331
P 1.984 1.146 8.214

---

6
Lattice="0.000 4.089 4.089 4.089 0.000 4.089 4.089 4.089 0.000" Properties=species:S:1:pos:R:3 comment="SrAs5, relaxed, DFT PBE-GGA" relative_energy_mev_per_atom=133.5 e_tot_ev_per_cell=-25.2 m_tot_mub_per_fu=0.00 spacegroup="F-43m, No. 216" pbc="T T T"
Sr 0.000 0.000 0.000
As 3.153 3.153 3.153
As 5.025 5.025 3.153
As 5.025 3.153 5.025
As 6.134 6.134 6.134
As 3.153 5.025 5.025

---

11
Lattice="-2.368 2.368 12.876 2.368 -2.368 12.876 2.368 2.368 -12.876" Properties=species:S:1:pos:R:3 comment="Ba2Ce4As3N2, relaxed, DFT PBE-GGA" e_tot_ev_per_cell=-71.5 m_tot_mub_per_fu=2.58 spacegroup="I4/mmm, No. 139" pbc="T T T"
Ba 0.000 0.000 5.093
Ba 0.000 0.000 20.659
Ce 2.368 0.000 1.997
Ce 2.368 0.000 10.879
Ce 0.000 2.368 1.997
Ce 0.000 2.368 10.879
As 0.000 0.000 8.698
As 0.000 0.000 12.876
As 0.000 0.000 17.054
N 0.000 0.000 2.304
N 0.000 0.000 23.448

---

8
Lattice="-3.081 3.081 7.419 3.081 -3.081 7.419 3.081 3.081 -7.419" Properties=species:S:1:pos:R:3 comment="Al2TlAgTe4, relaxed, DFT PBE-GGA" e_tot_ev_per_cell=-27.4 m_tot_mub_per_fu=0.00 spacegroup="I-42m, No. 121" pbc="T T T"
Al 3.081 0.000 3.710
Al 0.000 3.081 3.710
Tl 0.000 0.000 0.000
Ag 0.000 0.000 7.419
Te 1.685 1.685 -2.161
Te 1.396 -1.396 9.581
Te 1.396 1.396 5.258
Te -1.396 1.396 9.581